Entry 1:
The following is a DFT calculation (PBE) of crystalline NdAlZn2 at its relaxed geometry.

Lattice parameters (Å, degrees): 6.8243 6.8243 6.8243 90.00 90.00 90.00
Space group Fm-3m (No. 225)
Inequivalent atoms, fractional coordinates:
Nd  0.0000  0.0000  0.0000 x4
Al  0.0000  0.0000  0.5000 x4
Zn  0.2500  0.2500  0.2500 x8

Results
As for the size of the total moment: 0.0 μB per formula unit. As for the formation energy: -0.285 eV/atom.



Entry 2:
The following is a DFT calculation (PBE) of crystalline Nd8AlZn2 at its relaxed geometry.

Lattice parameters (Å, degrees): 18.2757 5.2072 7.4076 90.00 110.77 90.00
Space group C2/m (No. 12)
Inequivalent atoms, fractional coordinates:
Nd  0.0260  0.0000  0.2728 x4
Nd  0.0910  0.5000  0.9640 x4
Nd  0.1718  0.5000  0.4765 x4
Nd  0.1937  0.0000  0.8057 x4
Al  0.0000  0.5000  0.5000 x2
Zn  0.1786  0.0000  0.1941 x4

Results
As for the size of the total moment: 0.0 μB per formula unit. The energy above the lowest structure with this stoichiometry comes out at 0 meV per atom. As for the formation energy: -0.132 eV/atom.



Entry 3:
The following is a DFT calculation (PBE) of crystalline Nd8Al2Zn at its relaxed geometry.

Lattice parameters (Å, degrees): 5.1327 8.7285 14.6588 90.00 90.00 90.00
Space group Immm (No. 71)
Inequivalent atoms, fractional coordinates:
Nd  0.0000  0.0000  0.1398 x4
Nd  0.0000  0.2210  0.3422 x8
Nd  0.0000  0.3234  0.0000 x4
Al  0.0000  0.5000  0.1964 x4
Zn  0.0000  0.5000  0.5000 x2

Results
As for the size of the total moment: 0.0 μB per formula unit. The energy above the lowest structure with this stoichiometry comes out at 49 meV per atom. As for the formation energy: -0.107 eV/atom.



Entry 4:
The following is a DFT calculation (PBE) of crystalline Nd5AlZn4 at its relaxed geometry.

Lattice parameters (Å, degrees): 3.6793 3.6793 18.6543 90.00 90.00 90.00
Space group P4/mmm (No. 123)
Inequivalent atoms, fractional coordinates:
Nd  0.0000  0.0000  0.0000 x1
Nd  0.0000  0.0000  0.1987 x2
Nd  0.0000  0.0000  0.3977 x2
Al  0.5000  0.5000  0.5000 x1
Zn  0.5000  0.5000  0.0994 x2
Zn  0.5000  0.5000  0.2971 x2

Results
As for the size of the total moment: 0.0 μB per formula unit. As for the formation energy: -0.312 eV/atom.



Entry 5:
The following is a DFT calculation (PBE) of crystalline NdAl2Zn6 at its relaxed geometry.

Lattice parameters (Å, degrees): 4.1248 6.8040 11.9391 90.00 90.00 90.00
Space group Immm (No. 71)
Inequivalent atoms, fractional coordinates:
Nd  0.0000  0.0000  0.0000 x2
Al  0.0000  0.5000  0.1166 x4
Zn  0.0000  0.1771  0.5000 x4
Zn  0.0000  0.3060  0.3080 x8

Results
As for the size of the total moment: 0.0 μB per formula unit. As for the formation energy: -0.096 eV/atom.



Entry 6:
The following is a DFT calculation (PBE) of crystalline Nd2AlZn6 at its relaxed geometry.

Lattice parameters (Å, degrees): 3.9740 6.9711 14.1439 90.00 90.00 90.00
Space group Immm (No. 71)
Inequivalent atoms, fractional coordinates:
Nd  0.0000  0.0000  0.1204 x4
Al  0.0000  0.5000  0.0000 x2
Zn  0.0000  0.1799  0.3165 x8
Zn  0.0000  0.2371  0.5000 x4

Results
As for the size of the total moment: 0.0 μB per formula unit. The energy above the lowest structure with this stoichiometry comes out at 249 meV per atom. As for the formation energy: -0.071 eV/atom.



Number 1: energy -3.050 eV per atom. Number 2: energy -4.171 eV per atom. Number 3: energy -4.370 eV per atom. Number 4: energy -3.580 eV per atom. Number 5: energy -2.306 eV per atom. Number 6: energy -2.396 eV per atom.